Below is crystalline SrPrGe4Pd2 at its relaxed geometry, with properties calculated at the GGA-PBE level.

Cell and atoms, written as POSCAR:
```
SrPrGe4Pd2
1.0
-1.9257 3.9920 -0.4757
-8.1696 -3.7891 1.2740
-6.8584 -2.6717 5.3430
Ge Pd Pr Sr
4 2 1 1
direct
0.5000 0.0354 0.0354 Ge
0.0000 0.2492 0.2492 Ge
0.5000 0.7514 0.7514 Ge
0.0000 0.9636 0.9636 Ge
0.5000 0.1778 0.1778 Pd
0.0000 0.8232 0.8232 Pd
0.5000 0.3926 0.3926 Pr
0.0000 0.6069 0.6069 Sr
```

Computed properties:
For the uncorrected energy, the calculation gives -0.37646 Ry per atom. As for the space-group type: Amm2 (38).